Record 1
This record from Alexandria describes crystalline CrCo2Ru at its relaxed geometry. The functional is GGA-PBE.

Values from the calculation:
Calculated formation energy, eV/atom: 0.0858
Symmetry: I-4m2, No. 119
Excess energy over the best structure of this formula in the dataset, meV per atom: 34

abc: 4.4057 4.4057 4.4057
angles: 131.46 131.46 71.09
Last column: nearest neighbours and their distance in Å.
Sites, in units of the cell vectors:
Cr1 0.0000 0.0000 0.0000  8 Co 2.55-2.56, 4 Ru 2.55
Co1 0.5000 0.5000 0.0000  4 Co 2.55, 4 Ru 2.55, 4 Cr 2.56
Co2 0.7500 0.2500 0.5000  4 Cr 2.55, 4 Co 2.55, 4 Ru 2.56
Ru1 0.2500 0.7500 0.5000  4 Cr 2.55, 8 Co 2.55-2.56

***

Record 2
This record from Alexandria describes crystalline Pm6P2I3N at its relaxed geometry. The functional is GGA-PBE.

Values from the calculation:
Symmetry: C2/m, No. 12
ΔE_f (raw), eV/f.u.: -15.50

abc: 7.0413 7.0413 7.9822
angles: 98.44 98.44 119.98
Last column: nearest neighbours and their distance in Å.
Sites, in units of the cell vectors:
Pm1 0.0594 0.3670 0.1784  1 N 2.56, 2 P 2.80
Pm2 0.2479 0.2479 0.8203  1 N 2.56, 2 P 2.80
Pm3 0.3670 0.0594 0.1784  1 N 2.56, 2 P 2.80
Pm4 0.6330 0.9406 0.8216  1 N 2.56, 2 P 2.80
Pm5 0.7521 0.7521 0.1797  1 N 2.56, 2 P 2.80
Pm6 0.9406 0.6330 0.8216  1 N 2.56, 2 P 2.80
P1 0.3336 0.6664 0.0000  6 Pm 2.80
P2 0.6664 0.3336 0.0000  6 Pm 2.80
I1 0.1705 0.8295 0.5000  6 Pm 3.34-3.49
I2 0.5000 0.5000 0.5000  6 Pm 3.34-3.52
I3 0.8295 0.1705 0.5000  6 Pm 3.34-3.49
N1 0.0000 0.0000 0.0000  6 Pm 2.56

***

Record 3
This record from Alexandria describes crystalline CoHRu2Au at its relaxed geometry. The functional is GGA-PBE.

Values from the calculation:
Symmetry: P4/mmm, No. 123

abc: 3.8920 3.8920 3.9092
angles: 90.00 90.00 90.00
Last column: nearest neighbours and their distance in Å.
Sites, in units of the cell vectors:
Co1 0.0000 0.0000 0.0000  2 H 1.95
H1 0.0000 0.0000 0.5000  4 Ru 1.95, 2 Co 1.95
Ru1 0.0000 0.5000 0.5000  2 H 1.95
Ru2 0.5000 0.0000 0.5000  2 H 1.95
Au1 0.5000 0.5000 0.0000  4 Co 2.75, 8 Ru 2.76

***

Record 4
This record from Alexandria describes crystalline CdReCl2 at its relaxed geometry. The functional is GGA-PBE.

Values from the calculation:
Symmetry: Cmmm, No. 65
Excess energy over the best structure of this formula in the dataset, meV per atom: 943
ΔE_f (raw), eV/f.u.: 3.89

abc: 5.1030 5.1030 2.9831
angles: 90.00 90.00 108.68
Last column: nearest neighbours and their distance in Å.
Sites, in units of the cell vectors:
Cd1 0.0000 0.0000 0.0000  8 Cl 2.96, 2 Re 2.97, 2 Cd 2.98
Re1 0.5000 0.5000 0.0000  8 Cl 2.96, 2 Cd 2.97, 2 Re 2.98
Cl1 0.0000 0.5000 0.5000  4 Cd 2.96, 4 Re 2.96, 4 Cl 2.97-2.98
Cl2 0.5000 0.0000 0.5000  4 Cd 2.96, 4 Re 2.96, 4 Cl 2.97-2.98

***

| no. | density (g/cm³) | final energy (eV per atom) |
| --- | --- | --- |
| 1 | 9.566 | -8.192 |
| 2 | 6.723 | -5.650 |
| 3 | 12.873 | -6.145 |
| 4 | 8.338 | -3.292 |